1.
Na2AgGeI5: relaxed, PBE-GGA.

For the total magnetization, the calculation gives 0.0 Bohr magnetons per cell. The value obtained for the total energy is -2.68 eV/atom. For the volume, the calculation gives 37.77 Å³/atom.

Unit cell a=4.471 b=19.210 c=15.829 alpha=90.00 beta=90.00 gamma=90.00
Space group Cmc2_1 (No. 36)
Symmetry-distinct sites (fractional):
Na 0.000 0.075 0.000 (multiplicity 4)
Na 0.000 0.086 0.714 (multiplicity 4)
Ag 0.000 0.408 0.773 (multiplicity 4)
Ge 0.000 0.245 0.374 (multiplicity 4)
I 0.000 0.083 0.385 (multiplicity 4)
I 0.000 0.246 0.002 (multiplicity 4)
I 0.000 0.257 0.736 (multiplicity 4)
I 0.000 0.398 0.358 (multiplicity 4)
I 0.000 0.490 0.624 (multiplicity 4)

=====

2.
AgGeIO6: relaxed, PBE-GGA.

For the total magnetization, the calculation gives 0.0 Bohr magnetons per cell. The value obtained for the total energy is -4.96 eV/atom. For the volume, the calculation gives 13.45 Å³/atom.

Unit cell a=5.1092 b=5.1092 c=10.7070 alpha=90.00 beta=90.00 gamma=120.00
Space group P-31c (No. 163)
Symmetry-distinct sites (fractional):
Ag 0.0000 0.0000 0.0000 (multiplicity 2)
Ge 0.3333 0.6667 0.2500 (multiplicity 2)
I 0.3333 0.6667 0.7500 (multiplicity 2)
O 0.0012 0.3780 0.6490 (multiplicity 12)

=====

3.
Ag9Ge2IO8: relaxed, PBE-GGA.

For the total magnetization, the calculation gives 0.0 Bohr magnetons per cell. The value obtained for the total energy is -4.36 eV/atom. For the volume, the calculation gives 17.36 Å³/atom.

Unit cell a=18.146 b=6.810 c=5.826 alpha=90.00 beta=105.32 gamma=90.00
Space group C2/m (No. 12)
Symmetry-distinct sites (fractional):
Ag 0.000 0.000 0.000 (multiplicity 2)
Ag 0.000 0.232 0.500 (multiplicity 4)
Ag 0.177 0.276 0.292 (multiplicity 8)
Ag 0.195 0.500 0.722 (multiplicity 4)
Ge 0.157 0.000 0.778 (multiplicity 4)
I 0.000 0.500 0.000 (multiplicity 2)
O 0.124 0.000 0.041 (multiplicity 4)
O 0.124 0.213 0.600 (multiplicity 8)
O 0.241 0.500 0.128 (multiplicity 4)